A relaxed structure of NdBeZn2Ru2. Source: Alexandria via LeMat-Bulk, functional PBE-GGA.

Cell: 4.3258 4.3258 5.4567 Å, 90.00 90.00 90.00°
Positions (direct):
Ru  0.5000  0.0000  0.0000
Zn  0.5000  0.5000  0.2624
Nd  0.0000  0.0000  0.5000
Ru  0.0000  0.5000  0.0000
Be  0.0000  0.0000  0.0000
Zn  0.5000  0.5000  0.7376

Computed properties:
**Theoretical density**: 7.907 g cm⁻³
**Calculated volume**: 102.11 Å³ per cell
**Space-group type**: P4/mmm, No. 123
**M_tot**: 0.000 μB per atom
**Calculated formation energy**: -0.889 eV/f.u.